#a
Compound: SrPtAu2
Source: Alexandria
Functional: PBE-GGA
Structure: relaxed

Cell and atoms, written as POSCAR:
```
SrPtAu2
1.0
3.5909 0.0116 0.0000
-0.0112 3.5909 0.0000
0.0000 0.0000 6.7923
Pt Au Sr
1 2 1
direct
0.0000 0.0000 0.4538
0.0000 0.0000 0.0387
0.5000 0.5000 0.2661
0.5000 0.5000 0.7414
```

Computed properties:
- size of the total moment (μB/cell) = 0.00
- density of states at the Fermi level (states/eV/f.u.) = 1.66

=====

#b
Compound: SrPtAu2
Source: Alexandria
Functional: PBE-GGA
Structure: relaxed

Cell and atoms, written as POSCAR:
```
SrPtAu2
1.0
0.0000 3.5010 3.5010
3.5010 0.0000 3.5010
3.5010 3.5010 0.0000
Au Sr Pt
2 1 1
direct
0.2500 0.2500 0.2500
0.7500 0.7500 0.7500
0.0000 0.0000 0.0000
0.5000 0.5000 0.5000
```

Computed properties:
- size of the total moment (μB/cell) = 0.00
- density of states at the Fermi level (states/eV/f.u.) = 1.75

=====

Q: Which of them is the least stable? A: #a.

=====

#a
Compound: SrPt2Au4
Source: Alexandria
Functional: PBE-GGA
Structure: relaxed

Cell and atoms, written as POSCAR:
```
SrPt2Au4
1.0
-1.9732 -1.2493 5.0117
-0.9009 -5.4826 1.3503
3.6707 -0.9602 4.2775
Au Pt Sr
4 2 1
direct
0.6987 0.0000 0.6017
0.3013 0.0000 0.3983
0.3013 0.3984 0.0000
0.6987 0.6016 0.0000
0.2495 0.5005 0.5005
0.7505 0.4995 0.4995
0.0000 0.0000 0.0000
```

Computed properties:
- size of the total moment (μB/cell) = 0.00
- density of states at the Fermi level (states/eV/f.u.) = 3.03

=====

#b
Compound: SrPt2Au4
Source: Alexandria
Functional: PBE-GGA
Structure: relaxed

Cell and atoms, written as POSCAR:
```
SrPt2Au4
1.0
0.6359 6.4391 0.5790
-4.8811 -3.9244 1.7251
4.5797 -1.9778 4.1613
Au Pt Sr
4 2 1
direct
0.2730 0.5000 0.7730
0.7270 0.5000 0.2270
0.5000 0.2730 0.7730
0.5000 0.7270 0.2270
0.2500 0.7500 0.5000
0.7500 0.2500 0.5000
0.0000 0.0000 0.0000
```

Computed properties:
- size of the total moment (μB/cell) = 0.00
- density of states at the Fermi level (states/eV/f.u.) = 2.91

=====

Q: Which of them is the least stable? A: #b.

=====

#a
Compound: SrPtAu
Source: Alexandria
Functional: PBE-GGA
Structure: relaxed

Cell and atoms, written as POSCAR:
```
SrPtAu
1.0
-1.0453 -4.4735 0.4280
4.4135 1.3273 -0.2160
0.0886 0.3701 4.0838
Au Sr Pt
1 1 1
direct
0.0000 0.0000 0.1667
0.3333 0.6667 0.6667
0.6667 0.3333 0.1666
```

Computed properties:
- size of the total moment (μB/cell) = 0.00
- density of states at the Fermi level (states/eV/f.u.) = 1.56

=====

#b
Compound: SrPtAu
Source: Alexandria
Functional: PBE-GGA
Structure: relaxed

Cell and atoms, written as POSCAR:
```
SrPtAu
1.0
4.8191 0.0000 0.0000
2.4096 4.1735 0.0000
2.4096 1.3912 3.9348
Sr Au Pt
1 1 1
direct
0.0000 0.0000 0.0000
0.5000 0.5000 0.5000
0.2500 0.2500 0.2500
```

Computed properties:
- size of the total moment (μB/cell) = 0.00
- density of states at the Fermi level (states/eV/f.u.) = 2.18

=====

#c
Compound: SrPtAu
Source: Alexandria
Functional: PBE-GGA
Structure: relaxed

Cell and atoms, written as POSCAR:
```
SrPtAu
1.0
-2.8538 -3.2084 -3.7196
-0.9436 -0.6731 5.5615
-1.1529 5.5490 0.3913
Au Sr Pt
2 2 2
direct
0.5000 0.5000 0.5000
0.0000 0.5000 0.0000
0.2500 0.1207 0.8707
0.7500 0.8793 0.1293
0.0000 0.5000 0.5000
0.5000 0.0000 0.5000
```

Computed properties:
- size of the total moment (μB/cell) = 0.00
- density of states at the Fermi level (states/eV/f.u.) = 0.88

=====

Q: Which of them is the least stable? A: #b.

=====

#a
Compound: SrPtAu
Source: Alexandria
Functional: PBE-GGA
Structure: relaxed

Cell and atoms, written as POSCAR:
```
SrPtAu
1.0
5.2648 -0.1832 -0.3644
-2.4502 4.6636 0.3644
-2.5488 -1.5231 7.2229
Au Sr Pt
2 2 2
direct
0.0000 0.0000 0.5000
0.5000 0.5000 0.5000
0.2189 0.5806 0.7995
0.7811 0.4194 0.2005
0.9146 0.9120 0.8266
0.0854 0.0880 0.1734
```

Computed properties:
- size of the total moment (μB/cell) = 0.00
- density of states at the Fermi level (states/eV/f.u.) = 0.72

=====

#b
Compound: SrPtAu
Source: Alexandria
Functional: PBE-GGA
Structure: relaxed

Cell and atoms, written as POSCAR:
```
SrPtAu
1.0
-1.2906 4.4829 -1.6157
-4.6310 0.8501 -1.4845
-2.9825 2.8407 2.7217
Au Sr Pt
1 1 1
direct
0.0000 0.0000 0.0000
0.2500 0.2500 0.2500
0.5000 0.5000 0.5000
```

Computed properties:
- size of the total moment (μB/cell) = 0.00
- density of states at the Fermi level (states/eV/f.u.) = 0.95

=====

#c
Compound: SrPtAu
Source: Alexandria
Functional: PBE-GGA
Structure: relaxed

Cell and atoms, written as POSCAR:
```
SrPtAu
1.0
5.7006 -0.0045 0.0035
3.2807 4.6620 -0.0035
-4.2414 -2.8095 2.5719
Au Sr Pt
1 1 1
direct
0.0285 0.0285 0.0000
0.3312 0.3312 0.0000
0.6402 0.6402 0.0000
```

Computed properties:
- size of the total moment (μB/cell) = 0.00
- density of states at the Fermi level (states/eV/f.u.) = 1.00

=====

Q: Which of them is the least stable? A: #b.